Record 1
CrHgSe2O | Alexandria | GGA+U | optimized geometry; DOS at the Fermi energy = 4.51 states/eV per cell; total magnetic moment = 3.36 μB per formula unit; space-group type = P4/mmm (123); relative energy among the computed polymorphs = 0 meV/atom; crystal system = tetragonal
1.0
5.328 0.000 0.000
0.000 4.061 0.000
0.000 0.000 5.328
Se Hg Cr O
2 1 1 1
direct
0.500 0.000 0.000
0.000 0.000 0.500
0.000 0.000 0.000
0.500 0.500 0.500
0.000 0.500 0.000


Record 2
CrHgSe2O8 | Alexandria | GGA+U | optimized geometry; DOS at the Fermi energy = 2.84 states/eV per cell; raw total energy = -5.30 eV/atom; total magnetic moment = 3.30 μB per formula unit; space-group type = C2/m (12); crystal system = monoclinic
1.0
5.084 -0.155 -0.146
2.207 4.582 -0.146
0.122 0.074 7.818
Se Cr O Hg
2 1 8 1
direct
0.647 0.647 0.204
0.353 0.353 0.796
0.000 0.000 0.000
0.281 0.777 0.188
0.273 0.273 0.600
0.777 0.281 0.188
0.768 0.768 0.038
0.232 0.232 0.962
0.727 0.727 0.400
0.223 0.719 0.812
0.719 0.223 0.812
0.000 0.000 0.500


Record 3
CrHgSe2O | Alexandria | GGA+U | optimized geometry; DOS at the Fermi energy = 3.16 states/eV per cell; total magnetic moment = 1.62 μB per formula unit; space-group type = P4/mmm (123); relative energy among the computed polymorphs = 281 meV/atom; crystal system = tetragonal
1.0
-1.408 -4.247 -1.264
2.697 0.198 -3.669
3.474 -1.881 2.452
Se Hg O Cr
2 1 1 1
direct
0.500 0.000 0.000
0.000 0.000 0.500
0.000 0.500 0.000
0.000 0.000 0.000
0.500 0.500 0.500


Record 4
CrSiHgO6 | Alexandria | GGA+U | optimized geometry; DOS at the Fermi energy = 2.55 states/eV per cell; raw total energy = -6.06 eV/atom; total magnetic moment = 0.08 μB per formula unit; space-group type = P3 (143); crystal system = trigonal
1.0
4.906 0.000 -0.002
2.453 4.248 0.000
-0.001 0.001 4.876
O Cr Si Hg
6 1 1 1
direct
0.008 0.607 0.710
0.014 0.369 0.300
0.616 0.015 0.300
0.369 0.616 0.300
0.607 0.386 0.710
0.386 0.007 0.710
0.667 0.667 0.474
0.333 0.333 0.518
0.000 0.000 0.978


Repeat the fourth record exactly.
CrSiHgO6 | Alexandria | GGA+U | optimized geometry; DOS at the Fermi energy = 2.55 states/eV per cell; raw total energy = -6.06 eV/atom; total magnetic moment = 0.08 μB per formula unit; space-group type = P3 (143); crystal system = trigonal
1.0
4.906 0.000 -0.002
2.453 4.248 0.000
-0.001 0.001 4.876
O Cr Si Hg
6 1 1 1
direct
0.008 0.607 0.710
0.014 0.369 0.300
0.616 0.015 0.300
0.369 0.616 0.300
0.607 0.386 0.710
0.386 0.007 0.710
0.667 0.667 0.474
0.333 0.333 0.518
0.000 0.000 0.978


> total magnetic moment of number 2 (CrHgSe2O8)?

3.30 μB per formula unit


> DOS at the Fermi energy of number 4 (CrSiHgO6)?

2.55 states/eV per cell